Here is a PBEsol-optimized structure of Cu2RhAu from Alexandria. Energies are from meta-GGA SCAN.

- Fermi-level density of states (states/eV/f.u.) = 2.63
- size of the total moment (Bohr magnetons per cell) = 0.00
- total DFT energy (no corrections) (eV/atom) = -33.291

Unit cell a=8.609 b=2.708 c=4.706 alpha=90.00 beta=100.50 gamma=90.00
Space group C2/m (No. 12)
Asymmetric unit:
Cu1 0.247 0.000 0.236 (multiplicity 4)
Rh1 0.000 0.500 0.000 (multiplicity 2)
Au1 0.000 0.000 0.500 (multiplicity 2)